PbSO4, optimized geometry, DFT PBE; ΔE to the lowest computed polymorph = 0.58 kJ per mole of atoms; symmetry = C222_1; M_tot = 0.00 μB per cell; DOS(E_F) = 0.000 states/eV/atom
1.0
4.8452 -1.2974 0.0000
-1.4371 4.8056 0.0000
0.0000 0.0000 8.4701
Pb S O
2 2 8
direct
0.8030 0.1970 0.7500
0.1970 0.8030 0.2500
0.5563 0.5563 0.0000
0.4437 0.4437 0.5000
0.2386 0.2920 0.3585
0.7614 0.7080 0.8585
0.2920 0.2386 0.6415
0.7547 0.4762 0.4773
0.7080 0.7614 0.1415
0.5238 0.2453 0.0227
0.4762 0.7547 0.5227
0.2453 0.5238 0.9773